(1)
VASP calculation (PBE) on CaGa4Cu after structural relaxation.

extended XYZ file:
```
12
Lattice="6.6542 -0.6974 -0.7965 -0.7886 6.7082 0.4488 -3.8218 -1.4453 5.5799" Properties=species:S:1:pos:R:3 pbc="T T T"
Ca 4.4603 4.4531 -0.1397
Ca -2.4165 0.1124 5.3719
Ga 0.9691 -0.2204 5.0473
Ga 3.5146 -0.2928 1.2834
Ga 1.0748 4.7859 0.1850
Ga -1.4707 4.8584 3.9489
Ga 2.5750 3.8851 2.7745
Ga -0.0105 3.2585 2.1045
Ga -0.5311 0.6804 2.4578
Ga 2.0544 1.3071 3.1278
Cu 1.4162 -1.0714 2.3917
Cu -2.3052 2.6315 3.0144
```

Values from the calculation:
energy of formation: -0.23 eV per atom
total moment: 0.0 μB/f.u.



(2)
VASP calculation (PBE) on Tb4Sm3Ho after structural relaxation.

extended XYZ file:
```
8
Lattice="3.4592 0.0000 -0.4365 -0.1726 6.6122 -1.3676 -0.2642 -1.0149 11.8322" Properties=species:S:1:pos:R:3 pbc="T T T"
Tb 2.3920 1.1329 5.0316
Tb 0.6304 4.4645 4.9965
Tb 0.3013 2.1654 2.3880
Tb 2.7211 3.4319 7.6401
Ho 1.7296 0.0000 -0.2182
Sm -0.0863 3.3061 -0.6838
Sm 0.2153 5.5786 1.7062
Sm 2.8071 0.0188 8.3219
```

Values from the calculation:
energy of formation: 0.16 eV per atom
offset from the most stable computed form: 0.142 eV/atom
total moment: 0.0 μB/f.u.



(3)
VASP calculation (PBE) on CuTc2Rh9 after structural relaxation.

extended XYZ file:
```
12
Lattice="-1.2146 -2.1524 -2.9260 0.1001 -3.1039 2.2417 -10.9559 1.9142 3.1398" Properties=species:S:1:pos:R:3 pbc="T T T"
Cu 0.0000 0.0000 0.0000
Tc -3.5761 0.6248 1.0249
Tc -7.3799 1.2894 2.1150
Rh -0.5573 -2.6282 -0.3421
Rh -4.2346 -1.9857 0.7117
Rh -7.8359 -1.3564 1.7438
Rh -2.4552 -0.7533 -0.9334
Rh -6.0853 -0.1191 0.1069
Rh -9.7154 0.5152 1.1473
Rh -1.7978 -1.2291 1.6505
Rh -5.4279 -0.5948 2.6908
Rh -9.0580 0.0394 3.7311
```

Values from the calculation:
energy of formation: -0.05 eV per atom
total moment: 0.0 μB/f.u.



Question: The highest energy of formation belongs to which entry?
Answer: Tb4Sm3Ho